Entry 1:
A plane-wave DFT calculation with PBEsol was carried out for crystalline PrGaPt at its relaxed geometry.

Lattice parameters (Å, degrees): 4.4716 7.1138 7.7035 90.00 90.00 90.00
Atoms (fractional coordinates):
1 Pr 0.7500 0.9819 0.6958
2 Pr 0.7500 0.4819 0.8042
3 Pr 0.2500 0.0181 0.3042
4 Pr 0.2500 0.5181 0.1958
5 Ga 0.7500 0.8319 0.0768
6 Ga 0.7500 0.3319 0.4232
7 Ga 0.2500 0.1681 0.9232
8 Ga 0.2500 0.6681 0.5768
9 Pt 0.7500 0.7133 0.4029
10 Pt 0.7500 0.2133 0.0971
11 Pt 0.2500 0.2867 0.5971
12 Pt 0.2500 0.7867 0.9029

## Properties
energy = -74.1 eV for the cell shown
formation enthalpy at 0 K = -3.047 eV per formula unit



Entry 2:
A plane-wave DFT calculation with PBEsol was carried out for crystalline TaSbNF2 at its relaxed geometry.

Lattice parameters (Å, degrees): 4.1870 4.1870 4.5804 90.00 90.00 90.00
Atoms (fractional coordinates):
1 Sb 0.0000 0.0000 0.0000
2 N 0.0000 0.0000 0.5000
3 F 0.0000 0.5000 0.0000
4 F 0.5000 0.0000 0.0000
5 Ta 0.5000 0.5000 0.5000

## Properties
energy = -27.6 eV for the cell shown
energy relative to the elements, uncorrected = 0.371 eV per atom



Entry 3:
A plane-wave DFT calculation with PBEsol was carried out for crystalline KRb2TlPt at its relaxed geometry.

Lattice parameters (Å, degrees): 5.3454 6.3945 6.3945 90.00 90.00 90.00
Atoms (fractional coordinates):
1 K 0.0000 0.0000 0.0000
2 Tl 0.5000 0.5000 0.5000
3 Rb 0.0000 0.0000 0.5000
4 Rb 0.0000 0.5000 0.0000
5 Pt 0.5000 0.0000 0.0000

## Properties
energy = -9.7 eV for the cell shown
formation enthalpy at 0 K = 3.083 eV per formula unit



Entry 4:
A plane-wave DFT calculation with PBEsol was carried out for crystalline Te3Cl at its relaxed geometry.

Lattice parameters (Å, degrees): 3.9799 3.9799 6.9718 90.00 90.00 90.00
Atoms (fractional coordinates):
1 Te 0.5000 0.5000 0.2951
2 Te 0.0000 0.0000 0.5000
3 Te 0.5000 0.5000 0.7049
4 Cl 0.0000 0.0000 0.0000

## Properties
energy = -12.1 eV for the cell shown
energy relative to the elements, uncorrected = 0.113 eV per atom



Entry 5:
A plane-wave DFT calculation with PBEsol was carried out for crystalline K2BiAu at its relaxed geometry.

Lattice parameters (Å, degrees): 6.6040 6.6040 6.5332 90.00 90.00 107.17
Atoms (fractional coordinates):
1 K 0.1494 0.4916 0.7500
2 K 0.5084 0.8506 0.2500
3 K 0.4916 0.1494 0.7500
4 K 0.8506 0.5084 0.2500
5 Au 0.0000 0.0000 0.5000
6 Au 0.0000 0.0000 0.0000
7 Bi 0.2800 0.2800 0.2500
8 Bi 0.7200 0.7200 0.7500

## Properties
energy = -24.1 eV for the cell shown
formation enthalpy at 0 K = -1.558 eV per formula unit



Entry 6:
A plane-wave DFT calculation with PBEsol was carried out for crystalline Li7CoO4F2 at its relaxed geometry.

Lattice parameters (Å, degrees): 5.1849 5.6504 9.9606 75.78 85.88 66.12
Atoms (fractional coordinates):
1 Li 0.9463 0.7263 0.2183
2 Li 0.5320 0.6305 0.7432
3 Li 0.4528 0.6521 0.3841
4 Li 0.0792 0.1883 0.1425
5 Li 0.9562 0.3311 0.4280
6 Li 0.4973 0.3338 0.9637
7 Li 0.0335 0.9789 0.6756
8 Li 0.5063 0.6994 0.0773
9 Li 0.0101 0.6889 0.5281
10 Li 0.0142 0.5971 0.9184
11 Li 0.5061 0.3500 0.6140
12 Li 0.5598 0.1819 0.2779
13 Li 0.0322 0.3566 0.7467
14 Li 0.5270 0.9920 0.8586
15 Co 0.0015 0.0146 0.9368
16 Co 0.4784 0.0005 0.5043
17 O 0.7242 0.7900 0.3924
18 O 0.7253 0.2410 0.7871
19 O 0.7896 0.8406 0.0276
20 O 0.3287 0.7525 0.5647
21 O 0.3214 0.7310 0.8938
22 O 0.6438 0.2340 0.4527
23 O 0.1848 0.2311 0.9436
24 O 0.2046 0.2393 0.5927
25 F 0.1482 0.3544 0.2612
26 F 0.6845 0.3288 0.1204
27 F 0.8565 0.7161 0.7314
28 F 0.2555 0.8193 0.2150

## Properties
energy = -147.6 eV for the cell shown
energy relative to the elements, uncorrected = -1.959 eV per atom



Entry 7:
A plane-wave DFT calculation with PBEsol was carried out for crystalline LaAl2Pt2 at its relaxed geometry.

Lattice parameters (Å, degrees): 4.1565 4.1565 6.2989 109.27 109.27 90.00
Atoms (fractional coordinates):
1 Al 0.2500 0.7500 0.5000
2 Al 0.7500 0.2500 0.5000
3 Pt 0.3785 0.3785 0.7569
4 Pt 0.6215 0.6215 0.2431
5 La 0.0000 0.0000 0.0000

## Properties
energy = -32.9 eV for the cell shown
formation enthalpy at 0 K = -5.452 eV per formula unit



Entry 8:
A plane-wave DFT calculation with PBEsol was carried out for crystalline GdFe10Si2 at its relaxed geometry.

Lattice parameters (Å, degrees): 4.6362 6.2571 6.2571 81.80 68.26 68.26
Atoms (fractional coordinates):
1 Si 0.2635 0.2365 0.2365
2 Si 0.7365 0.7635 0.7635
3 Gd 0.0000 0.0000 0.0000
4 Fe 0.3622 0.6378 0.6378
5 Fe 0.6378 0.3622 0.3622
6 Fe 0.0000 0.3556 0.6444
7 Fe 0.0000 0.6444 0.3556
8 Fe 0.5000 0.7859 0.2141
9 Fe 0.5000 0.2141 0.7859
10 Fe 0.0000 0.5000 0.0000
11 Fe 0.5000 0.5000 0.0000
12 Fe 0.0000 0.0000 0.5000
13 Fe 0.5000 0.0000 0.5000

## Properties
energy = -118.7 eV for the cell shown
energy relative to the elements, uncorrected = -0.244 eV per atom



Entry 9:
A plane-wave DFT calculation with PBEsol was carried out for crystalline LiGdSe2 at its relaxed geometry.

Lattice parameters (Å, degrees): 5.6694 5.6694 6.9904 113.92 113.92 90.00
Atoms (fractional coordinates):
1 Li 0.0000 0.0000 0.0000
2 Li 0.2500 0.7500 0.5000
3 Gd 0.5000 0.5000 0.0000
4 Gd 0.7500 0.2500 0.5000
5 Se 0.2516 0.2516 0.5032
6 Se 0.7484 0.7484 0.4968
7 Se 0.9984 0.4984 0.9968
8 Se 0.5016 0.0016 0.0032

## Properties
energy = -61.8 eV for the cell shown
energy relative to the elements, uncorrected = -1.690 eV per atom



Entry 10:
A plane-wave DFT calculation with PBEsol was carried out for crystalline KHg2SCl3O3 at its relaxed geometry.

Lattice parameters (Å, degrees): 5.9139 6.9162 11.2818 90.00 105.19 90.00
Atoms (fractional coordinates):
1 K 0.7356 0.3064 0.4712
2 K 0.2644 0.8064 0.5288
3 Hg 0.0996 0.1497 0.1992
4 Hg 0.4407 0.2866 0.8815
5 Hg 0.9004 0.6497 0.8008
6 Hg 0.5593 0.7866 0.1185
7 S 0.3329 0.3540 0.6657
8 S 0.6671 0.8540 0.3343
9 Cl 0.1546 0.4339 0.3092
10 Cl 0.4508 0.7319 0.9016
11 Cl 0.8454 0.9339 0.6908
12 Cl 0.9613 0.3729 0.9225
13 Cl 0.0387 0.8729 0.0775
14 Cl 0.5492 0.2319 0.0984
15 O 0.4727 0.9710 0.3576
16 O 0.7015 0.6724 0.4030
17 O 0.5273 0.4710 0.6424
18 O 0.1151 0.4710 0.6424
19 O 0.2985 0.1724 0.5970
20 O 0.8849 0.9710 0.3576

## Properties
energy = -78.5 eV for the cell shown
energy relative to the elements, uncorrected = -1.083 eV per atom



Entry 11:
A plane-wave DFT calculation with PBEsol was carried out for crystalline AgRhBr2 at its relaxed geometry.

Lattice parameters (Å, degrees): 3.1701 4.1202 6.6022 108.18 103.89 90.00
Atoms (fractional coordinates):
1 Rh 0.4895 0.4895 0.9790
2 Br 0.0190 0.0190 0.0380
3 Br 0.8034 0.3034 0.6068
4 Ag 0.1881 0.6881 0.3761

## Properties
energy = -14.3 eV for the cell shown
energy relative to the elements, uncorrected = 0.231 eV per atom



Entry 12:
A plane-wave DFT calculation with PBEsol was carried out for crystalline HfCo2NCl at its relaxed geometry.

Lattice parameters (Å, degrees): 3.5186 3.5186 5.2873 90.00 90.00 90.00
Atoms (fractional coordinates):
1 Co 0.0000 0.5000 0.0000
2 Co 0.5000 0.0000 0.0000
3 N 0.0000 0.0000 0.0000
4 Hf 0.5000 0.5000 0.5000
5 Cl 0.0000 0.0000 0.5000

## Properties
energy = -37.2 eV for the cell shown
energy relative to the elements, uncorrected = -0.140 eV per atom



Entry 13:
A plane-wave DFT calculation with PBEsol was carried out for crystalline KPbC2 at its relaxed geometry.

Lattice parameters (Å, degrees): 5.0053 5.0053 7.8650 108.55 108.55 90.00
Atoms (fractional coordinates):
1 Pb 0.2500 0.7500 0.5000
2 Pb 0.0000 0.0000 0.0000
3 K 0.7500 0.2500 0.5000
4 K 0.5000 0.5000 0.0000
5 C 0.2445 0.8750 0.2500
6 C 0.0055 0.3750 0.2500
7 C 0.1250 0.9945 0.7500
8 C 0.6250 0.7555 0.7500

## Properties
energy = -32.1 eV for the cell shown
formation enthalpy at 0 K = 8.362 eV per formula unit



Entry 14:
A plane-wave DFT calculation with PBEsol was carried out for crystalline TlTe2Rh2 at its relaxed geometry.

Lattice parameters (Å, degrees): 4.0848 4.0848 7.4856 105.83 105.83 90.00
Atoms (fractional coordinates):
1 Tl 0.0000 0.0000 0.0000
2 Te 0.3652 0.3652 0.7303
3 Te 0.6348 0.6348 0.2697
4 Rh 0.2500 0.7500 0.5000
5 Rh 0.7500 0.2500 0.5000

## Properties
energy = -27.0 eV for the cell shown
energy relative to the elements, uncorrected = -0.203 eV per atom



Entry 15:
A plane-wave DFT calculation with PBEsol was carried out for crystalline CrOsSe2 at its relaxed geometry.

Lattice parameters (Å, degrees): 4.2100 4.2100 3.9313 90.00 90.00 97.59
Atoms (fractional coordinates):
1 Cr 0.5000 0.5000 0.5000
2 Os 0.0000 0.0000 0.5000
3 Se 0.7686 0.2314 0.0000
4 Se 0.2314 0.7686 0.0000

## Properties
energy = -27.9 eV for the cell shown
energy relative to the elements, uncorrected = 0.559 eV per atom



Entry 16:
A plane-wave DFT calculation with PBEsol was carried out for crystalline Cd2Cu at its relaxed geometry.

Lattice parameters (Å, degrees): 8.3643 8.3643 8.3643 60.00 60.00 60.00
Atoms (fractional coordinates):
1 Cd 0.1250 0.1250 0.6250
2 Cd 0.1250 0.6250 0.1250
3 Cd 0.1250 0.1250 0.1250
4 Cd 0.6250 0.1250 0.1250
5 Cd 0.3127 0.6873 0.6873
6 Cd 0.3127 0.3127 0.6873
7 Cd 0.3127 0.6873 0.3127
8 Cd 0.6873 0.3127 0.6873
9 Cd 0.6873 0.6873 0.3127
10 Cd 0.6873 0.3127 0.3127
11 Cd 0.9373 0.5627 0.5627
12 Cd 0.9373 0.9373 0.5627
13 Cd 0.9373 0.5627 0.9373
14 Cd 0.5627 0.9373 0.5627
15 Cd 0.5627 0.5627 0.9373
16 Cd 0.5627 0.9373 0.9373
17 Cu 0.2592 0.9136 0.9136
18 Cu 0.9136 0.9136 0.9136
19 Cu 0.9136 0.2592 0.9136
20 Cu 0.9136 0.9136 0.2592
21 Cu 0.9908 0.3364 0.3364
22 Cu 0.3364 0.3364 0.3364
23 Cu 0.3364 0.9908 0.3364
24 Cu 0.3364 0.3364 0.9908

## Properties
energy = -52.9 eV for the cell shown
formation enthalpy at 0 K = 0.116 eV per formula unit



Entry 17:
A plane-wave DFT calculation with PBEsol was carried out for crystalline Y2AlTl at its relaxed geometry.

Lattice parameters (Å, degrees): 3.6149 3.6180 7.4387 90.00 90.00 90.00
Atoms (fractional coordinates):
1 Y 0.0000 0.0000 0.7609
2 Y 0.0000 0.0000 0.2391
3 Tl 0.5000 0.5000 0.5000
4 Al 0.5000 0.5000 0.0000

## Properties
energy = -22.1 eV for the cell shown
formation enthalpy at 0 K = -1.719 eV per formula unit



Entry 18:
A plane-wave DFT calculation with PBEsol was carried out for crystalline Sc2AlGeS at its relaxed geometry.

Lattice parameters (Å, degrees): 4.4430 5.0795 5.0795 90.00 90.00 90.00
Atoms (fractional coordinates):
1 Sc 0.0000 0.0000 0.5000
2 Sc 0.0000 0.5000 0.0000
3 Ge 0.0000 0.0000 0.0000
4 S 0.5000 0.5000 0.5000
5 Al 0.5000 0.0000 0.0000

## Properties
energy = -26.7 eV for the cell shown
energy relative to the elements, uncorrected = -0.021 eV per atom



Entry 19:
A plane-wave DFT calculation with PBEsol was carried out for crystalline BaNa2Au at its relaxed geometry.

Lattice parameters (Å, degrees): 5.4577 5.4577 5.4577 60.00 60.00 60.00
Atoms (fractional coordinates):
1 Na 0.2500 0.2500 0.2500
2 Na 0.7500 0.7500 0.7500
3 Au 0.5000 0.5000 0.5000
4 Ba 0.0000 0.0000 0.0000

## Properties
energy = -9.0 eV for the cell shown
formation enthalpy at 0 K = -0.160 eV per formula unit



Entry 20:
A plane-wave DFT calculation with PBEsol was carried out for crystalline MnCrCo2 at its relaxed geometry.

Lattice parameters (Å, degrees): 2.4218 3.4879 4.8502 90.00 90.00 90.00
Atoms (fractional coordinates):
1 Cr 0.5000 0.5000 0.0000
2 Mn 0.5000 0.5000 0.5000
3 Co 0.0000 0.0000 0.2536
4 Co 0.0000 0.0000 0.7464

## Properties
energy = -35.4 eV for the cell shown
formation enthalpy at 0 K = 0.067 eV per formula unit